Compound: TbPm5Tm5
Source: Alexandria via LeMat-Bulk
Functional: PBE
Structure: optimized geometry

* DOS at the Fermi energy: 22.3 states/eV per cell
* space group: P-6m2, No. 187
* size of the total moment: 0.0000 μB per atom
* total energy: -4.32 eV/atom

Cell lengths 6.0521, 6.0521, 11.7873 Å; angles 90.00, 90.00, 120.00 degrees
With the nearest neighbours (Å) after each atom.
Sites, in units of the cell vectors:
Tb: 0.0000 0.0000 0.0000  5 Pm 3.49-3.72
Pm: 0.0000 0.0000 0.3155  9 Tm 3.54-3.73, 1 Tb 3.72
Pm: 0.0000 0.0000 0.6845  9 Tm 3.54-3.73, 1 Tb 3.72
Pm: 0.3333 0.6667 0.1526  7 Pm 3.60-3.99, 3 Tm 3.74, 3 Tb 3.93
Pm: 0.3333 0.6667 0.8474  7 Pm 3.60-3.99, 3 Tm 3.74, 3 Tb 3.93
Pm: 0.6667 0.3333 0.0000  2 Tm 3.14, 3 Tb 3.49
Tm: 0.5003 0.0005 0.5000  6 Tm 3.02-3.26
Tm: 0.5003 0.4997 0.5000  6 Tm 3.02-3.26
Tm: 0.6667 0.3333 0.2660  1 Pm 3.14, 3 Tm 3.26
Tm: 0.6667 0.3333 0.7340  1 Pm 3.14, 3 Tm 3.26
Tm: 0.9995 0.4997 0.5000  6 Tm 3.02-3.26